(1)
The following is a DFT calculation (PBE) of a relaxed Ca2MgHBr crystal.

Calculated values
VASP energy: -2.21 eV per atom
Crystal system: tetragonal
Space-group type: P4/mmm

Lattice parameters (Å, degrees): 6.1955 6.1955 3.8640 90.00 90.00 90.00
Fractional coordinates of all 5 atoms:
Ca: 0.0000 0.5000 0.0000
Ca: 0.5000 0.0000 0.0000
Mg: 0.0000 0.0000 0.0000
H: 0.0000 0.0000 0.5000
Br: 0.5000 0.5000 0.5000

---

(2)
The following is a DFT calculation (PBE) of a relaxed CaMoH2Br crystal.

Calculated values
VASP energy: -4.11 eV per atom
Crystal system: tetragonal
Space-group type: P4/mmm

Lattice parameters (Å, degrees): 3.9542 3.9542 6.1982 90.00 90.00 90.00
Fractional coordinates of all 5 atoms:
Ca: 0.0000 0.0000 0.0000
Mo: 0.0000 0.0000 0.5000
H: 0.0000 0.5000 0.5000
H: 0.5000 0.0000 0.5000
Br: 0.5000 0.5000 0.0000

---

(3)
The following is a DFT calculation (PBE) of a relaxed CaH4Br3N crystal.

Calculated values
VASP energy: -4.25 eV per atom
Crystal system: orthorhombic
Space-group type: Pnma

Lattice parameters (Å, degrees): 9.9424 4.4142 16.2463 90.00 90.00 90.00
Fractional coordinates of all 36 atoms:
Ca: 0.1625 0.2500 0.0624
Ca: 0.3375 0.7500 0.5624
Ca: 0.6625 0.2500 0.4376
Ca: 0.8375 0.7500 0.9376
H: 0.0050 0.7500 0.3751
H: 0.0473 0.2500 0.7232
H: 0.0955 0.5614 0.3002
H: 0.0955 0.9386 0.3002
H: 0.4045 0.0614 0.8002
H: 0.4045 0.4386 0.8002
H: 0.4527 0.7500 0.2232
H: 0.4950 0.2500 0.8751
H: 0.5050 0.7500 0.1249
H: 0.5473 0.2500 0.7768
H: 0.5955 0.5614 0.1998
H: 0.5955 0.9386 0.1998
H: 0.9045 0.0614 0.6998
H: 0.9045 0.4386 0.6998
H: 0.9527 0.7500 0.2768
H: 0.9950 0.2500 0.6249
Br: 0.0287 0.2500 0.9011
Br: 0.1643 0.2500 0.5111
Br: 0.2477 0.7500 0.7299
Br: 0.2523 0.2500 0.2299
Br: 0.3357 0.7500 0.0111
Br: 0.4713 0.7500 0.4011
Br: 0.5287 0.2500 0.5989
Br: 0.6643 0.2500 0.9889
Br: 0.7477 0.7500 0.7701
Br: 0.7523 0.2500 0.2701
Br: 0.8357 0.7500 0.4889
Br: 0.9713 0.7500 0.0989
N: 0.0366 0.7500 0.3142
N: 0.4634 0.2500 0.8142
N: 0.5366 0.7500 0.1858
N: 0.9634 0.2500 0.6858